A plane-wave DFT calculation with GGA-PBE was carried out for a relaxed La2Zn3Cu2 crystal.

Its calculated volume is 20.2 A^3/atom. The value obtained for the size of the total moment is 0.00 Bohr magnetons per cell. As for the raw total energy: -3.40 eV/atom. The calculation puts the formation energy at -0.280 eV/atom.

The space group is C2/m (No. 12) and the conventional cell measures 10.343, 4.317 and 7.048 Å, with angles of 90.00, 115.98 and 90.00 degrees. The inequivalent atoms are La at (0.144, 0.000, 0.270), Zn at (0.000, 0.500, 0.500), Zn at (0.128, 0.500, 0.927) and Cu at (0.136, 0.000, 0.712).


A plane-wave DFT calculation with GGA-PBE was carried out for a relaxed LaZn2Cu2 crystal.

Its calculated volume is 17.3 A^3/atom. The value obtained for the size of the total moment is 0.00 Bohr magnetons per cell. As for the raw total energy: -3.15 eV/atom. The calculation puts the formation energy at -0.014 eV/atom. Its energy relative to the lowest polymorph listed for this composition is 0.2272 eV/atom.

The space group is P4/mbm (No. 127) and the conventional cell measures 7.787, 7.787 and 2.849 Å, with angles of 90.00, 90.00 and 90.00 degrees. The inequivalent atoms are La at (0.000, 0.000, 0.000), Zn at (0.117, 0.383, 0.000) and Cu at (0.176, 0.676, 0.500).


A plane-wave DFT calculation with GGA-PBE was carried out for a relaxed LaZn3Cu crystal.

Its calculated volume is 39.0 A^3/atom. The value obtained for the size of the total moment is 0.00 Bohr magnetons per cell. As for the raw total energy: -1.37 eV/atom. The calculation puts the formation energy at 1.197 eV/atom. Its energy relative to the lowest polymorph listed for this composition is 1.4790 eV/atom.

The space group is Pm-3m (No. 221) and the conventional cell measures 5.797, 5.797 and 5.797 Å, with angles of 90.00, 90.00 and 90.00 degrees. The inequivalent atoms are La at (0.000, 0.000, 0.000), Zn at (0.000, 0.000, 0.500) and Cu at (0.500, 0.500, 0.500).